5
Lattice="-1.6335 -3.6695 -1.6087 3.8608 -0.4423 -2.9113 2.0536 -2.2585 3.0665" Properties=species:S:1:pos:R:3 comment="FeGe2WO | Alexandria | GGA+U | optimized geometry" spacegroup="No. 123" energy_ev_per_atom=-4.08 total_magnetization_mub_per_cell=2.1 pbc="T T T"
O 2.1404 -3.1852 -0.7268
Ge 1.0268 -1.1293 1.5332
Ge -0.8168 -1.8347 -0.8044
Fe 0.0000 0.0000 0.0000
W 1.9304 -0.2212 -1.4557